1.
VASP calculation (PBE) on Pr2PPt after structural relaxation.

The structure belongs to space group R-3m (No. 166, hexagonal axes); the cell edges are 4.1627, 4.1627 and 21.3067 Å and the angles 90.00°, 90.00° and 120.00°. The inequivalent atoms are Pr at (0.0000, 0.0000, 0.2478), P at (0.0000, 0.0000, 0.5000) and Pt at (0.0000, 0.0000, 0.0000).

The total energy is -77.124 eV for the cell shown. The value obtained for the spin magnetization is 0.00 μB per formula unit. As for the polymorph energy (0 for the lowest one): 0.000 eV/atom. The formation energy comes out at -1.17 eV/atom.



2.
VASP calculation (PBE) on Pr3P2Pt4 after structural relaxation.

The structure belongs to space group C2/m (No. 12); the cell edges are 11.008, 4.252 and 8.539 Å and the angles 90.00°, 104.87° and 90.00°. The inequivalent atoms are Pr at (0.000, 0.000, 0.000), Pr at (0.163, 0.500, 0.662), P at (0.109, 0.500, 0.285), Pt at (0.058, 0.000, 0.376) and Pt at (0.215, 0.500, 0.075).

The total energy is -120.585 eV for the cell shown. The value obtained for the spin magnetization is 0.00 μB per formula unit. The formation energy comes out at -1.22 eV/atom.



3.
VASP calculation (PBE) on Pr2PPt after structural relaxation.

The structure belongs to space group R3m (No. 160, hexagonal axes); the cell edges are 4.1323, 4.1323 and 21.7278 Å and the angles 90.00°, 90.00° and 120.00°. The inequivalent atoms are Pr at (0.0000, 0.0000, 0.0000), Pr at (0.0000, 0.0000, 0.1749), P at (0.0000, 0.0000, 0.5861) and Pt at (0.0000, 0.0000, 0.4205).

The total energy is -76.724 eV for the cell shown. The value obtained for the spin magnetization is 0.00 μB per formula unit. As for the polymorph energy (0 for the lowest one): 0.033 eV/atom. The formation energy comes out at -1.14 eV/atom.



4.
VASP calculation (PBE) on PrP2Pt2 after structural relaxation.

The structure belongs to space group I4/mmm (No. 139); the cell edges are 4.316, 4.316 and 19.324 Å and the angles 90.00°, 90.00° and 90.00°. The inequivalent atoms are Pr at (0.000, 0.000, 0.125), P at (0.000, 0.000, 0.430), P at (0.000, 0.500, 0.250), Pt at (0.000, 0.000, 0.306) and Pt at (0.000, 0.500, 0.000).

The total energy is -130.455 eV for the cell shown. The value obtained for the spin magnetization is 0.00 μB per formula unit. The formation energy comes out at -0.99 eV/atom.



5.
VASP calculation (PBE) on PrP2Pt8 after structural relaxation.

The structure belongs to space group I4/mmm (No. 139); the cell edges are 5.454, 5.454 and 15.258 Å and the angles 90.00°, 90.00° and 90.00°. The inequivalent atoms are Pr at (0.000, 0.000, 0.000), P at (0.000, 0.500, 0.250) and Pt at (0.247, 0.247, 0.347).

The total energy is -134.088 eV for the cell shown. The value obtained for the spin magnetization is 0.00 μB per formula unit. The formation energy comes out at -0.28 eV/atom.



6.
VASP calculation (PBE) on PrPPt after structural relaxation.

The structure belongs to space group Cmcm (No. 63); the cell edges are 4.328, 10.751 and 5.772 Å and the angles 90.00°, 90.00° and 90.00°. The inequivalent atoms are Pr at (0.000, 0.138, 0.250), P at (0.000, 0.151, 0.750) and Pt at (0.000, 0.426, 0.250).

The total energy is -78.406 eV for the cell shown. The value obtained for the spin magnetization is 0.00 μB per formula unit. The formation energy comes out at -1.12 eV/atom.



7.
VASP calculation (PBE) on Pr2P2Pt3 after structural relaxation.

The structure belongs to space group C2/m (No. 12); the cell edges are 10.353, 4.043 and 7.132 Å and the angles 90.00°, 116.20° and 90.00°. The inequivalent atoms are Pr at (0.135, 0.000, 0.269), P at (0.151, 0.000, 0.715), Pt at (0.000, 0.500, 0.500) and Pt at (0.127, 0.500, 0.937).

The total energy is -90.864 eV for the cell shown. The value obtained for the spin magnetization is 0.00 μB per formula unit. The formation energy comes out at -0.99 eV/atom.



8.
VASP calculation (PBE) on PrP2PtRh2 after structural relaxation.

The structure belongs to space group Pnnm (No. 58); the cell edges are 6.059, 9.405 and 4.058 Å and the angles 90.00°, 90.00° and 90.00°. The inequivalent atoms are Pr at (0.000, 0.000, 0.000), P at (0.224, 0.303, 0.000), Pt at (0.000, 0.500, 0.000) and Rh at (0.048, 0.301, 0.500).

The total energy is -82.018 eV for the cell shown. The value obtained for the spin magnetization is 0.00 μB per formula unit. The formation energy comes out at -0.78 eV/atom.



9.
VASP calculation (PBE) on PrP2PtRh5 after structural relaxation.

The structure belongs to space group P4/mmm (No. 123); the cell edges are 4.003, 4.003 and 10.262 Å and the angles 90.00°, 90.00° and 90.00°. The inequivalent atoms are Pr at (0.000, 0.000, 0.000), P at (0.500, 0.500, 0.222), Pt at (0.000, 0.000, 0.500), Rh at (0.000, 0.500, 0.330) and Rh at (0.500, 0.500, 0.000).

The total energy is -62.670 eV for the cell shown. The value obtained for the spin magnetization is 0.00 μB per formula unit. The formation energy comes out at -0.47 eV/atom.



10.
VASP calculation (PBE) on PrPPtRh after structural relaxation.

The structure belongs to space group P4/nmm (No. 129, origin choice 2); the cell edges are 3.977, 3.977 and 9.504 Å and the angles 90.00°, 90.00° and 90.00°. The inequivalent atoms are Pr at (0.250, 0.250, 0.224), P at (0.250, 0.250, 0.643), Pt at (0.250, 0.250, 0.901) and Rh at (0.250, 0.750, 0.500).

The total energy is -55.461 eV for the cell shown. The value obtained for the spin magnetization is 0.00 μB per formula unit. The formation energy comes out at -1.04 eV/atom.



11.
VASP calculation (PBE) on Pr2P3Pt12Rh after structural relaxation.

The structure belongs to space group R-3m (No. 166, hexagonal axes); the cell edges are 8.2308, 8.2308 and 18.3337 Å and the angles 90.00°, 90.00° and 120.00°. The inequivalent atoms are Pr at (0.0000, 0.0000, 0.1127), P at (0.0000, 0.5000, 0.0000), Pt at (0.0020, 0.5010, 0.8760), Pt at (0.0349, 0.5175, 0.3620) and Rh at (0.0000, 0.0000, 0.5000).

The total energy is -334.596 eV for the cell shown. The value obtained for the spin magnetization is 0.00 μB per formula unit. The formation energy comes out at -0.33 eV/atom.



12.
VASP calculation (PBE) on Pr8P3PtS4 after structural relaxation.

The structure belongs to space group R-3m (No. 166, hexagonal axes); the cell edges are 8.3458, 8.3458 and 20.4136 Å and the angles 90.00°, 90.00° and 120.00°. The inequivalent atoms are Pr at (0.0000, 0.0000, 0.2477), Pr at (0.0045, 0.5023, 0.7509), P at (0.0000, 0.5000, 0.5000), Pt at (0.0000, 0.0000, 0.5000), S at (0.0000, 0.0000, 0.0000) and S at (0.0000, 0.5000, 0.0000).

The total energy is -313.950 eV for the cell shown. The value obtained for the spin magnetization is 0.00 μB per formula unit. For the formation energy from raw total energies, the calculation gives -166.6 kJ per mole of atoms.



Question: Which formula does entry 8 have?
Answer: PrP2PtRh2